1.
Material: Zn2MoWN4
Method: DFT, GGA-PBE
State: optimized geometry

a b c (Å): 2.9155 2.9155 10.8190
angles (deg): 90.00 90.00 120.00
With the nearest neighbours (Å) after each atom.
Fractional positions:
Zn: 0.0000 0.0000 0.2491  6 N 2.19-2.20
Zn: 0.0000 0.0000 0.7509  6 N 2.19-2.20
Mo: 0.6667 0.3333 0.0000  6 N 2.13
W: 0.3333 0.6667 0.5000  6 N 2.13
N: 0.3333 0.6667 0.1201  3 Mo 2.13, 3 Zn 2.19
N: 0.3333 0.6667 0.8799  3 Mo 2.13, 3 Zn 2.19
N: 0.6667 0.3333 0.3795  3 W 2.13, 3 Zn 2.20
N: 0.6667 0.3333 0.6205  3 W 2.13, 3 Zn 2.20

Computed properties:
- DFT total energy: -0.2827 Ha/atom
- Symmetry: No. 187
- Calculated volume: 9.96 Å³ per atom

=====

2.
Material: Pr2GdCd3Ga2Au
Method: DFT, GGA-PBE
State: optimized geometry

a b c (Å): 4.4323 7.4957 7.4957
angles (deg): 119.93 90.00 90.00
With the nearest neighbours (Å) after each atom.
Fractional positions:
Pr: 0.0000 0.2061 0.7939  1 Au 3.11, 4 Ga 3.18, 2 Cd 3.36
Pr: 0.0000 0.7939 0.2061  1 Au 3.11, 4 Ga 3.18, 2 Cd 3.36
Gd: 0.0000 0.3821 0.3821  1 Au 3.05, 4 Ga 3.14, 2 Cd 3.35
Cd: 0.5000 0.0467 0.0467  2 Ga 2.83, 2 Au 2.95
Cd: 0.5000 0.5412 0.7908  2 Ga 2.83-2.90, 2 Au 2.89
Cd: 0.5000 0.7908 0.5412  2 Ga 2.83-2.90, 2 Au 2.89
Ga: 0.5000 0.1303 0.4586  3 Cd 2.83-2.90, 2 Gd 3.14
Ga: 0.5000 0.4586 0.1303  3 Cd 2.83-2.90, 2 Gd 3.14
Au: 0.0000 0.7882 0.7882  6 Cd 2.89-2.95, 1 Gd 3.05, 2 Pr 3.11

Computed properties:
- DFT total energy: -0.1281 Ha/atom
- Symmetry: No. 38
- Calculated volume: 23.98 Å³ per atom

=====

Please write out number 2 again, unchanged.
Material: Pr2GdCd3Ga2Au
Method: DFT, GGA-PBE
State: optimized geometry

a b c (Å): 4.4323 7.4957 7.4957
angles (deg): 119.93 90.00 90.00
With the nearest neighbours (Å) after each atom.
Fractional positions:
Pr: 0.0000 0.2061 0.7939  1 Au 3.11, 4 Ga 3.18, 2 Cd 3.36
Pr: 0.0000 0.7939 0.2061  1 Au 3.11, 4 Ga 3.18, 2 Cd 3.36
Gd: 0.0000 0.3821 0.3821  1 Au 3.05, 4 Ga 3.14, 2 Cd 3.35
Cd: 0.5000 0.0467 0.0467  2 Ga 2.83, 2 Au 2.95
Cd: 0.5000 0.5412 0.7908  2 Ga 2.83-2.90, 2 Au 2.89
Cd: 0.5000 0.7908 0.5412  2 Ga 2.83-2.90, 2 Au 2.89
Ga: 0.5000 0.1303 0.4586  3 Cd 2.83-2.90, 2 Gd 3.14
Ga: 0.5000 0.4586 0.1303  3 Cd 2.83-2.90, 2 Gd 3.14
Au: 0.0000 0.7882 0.7882  6 Cd 2.89-2.95, 1 Gd 3.05, 2 Pr 3.11

Computed properties:
- DFT total energy: -0.1281 Ha/atom
- Symmetry: No. 38
- Calculated volume: 23.98 Å³ per atom

=====

Q: What is the calculated volume in the second record?
A: 23.98 Å³ per atom

=====

Q: Which value of calculated volume does entry 1 give?
A: 9.96 Å³ per atom

=====

Q: Number 2 is which compound?
A: Pr2GdCd3Ga2Au